! Ca2Ga3Ni5 | Alexandria via LeMat-Bulk | PBE | relaxed; values from VASP
! calculated formation energy: -0.345 eV/atom
! V: 16.33 A^3/atom
! SG: Ibam
&SYSTEM
  ibrav = 0, nat = 20, ntyp = 3
/
ATOMIC_SPECIES
Ca 40.08 Ca.upf
Ga 69.72 Ga.upf
Ni 58.69 Ni.upf
CELL_PARAMETERS angstrom
-4.962 5.818 2.829
4.962 -5.818 2.829
4.962 5.818 -2.829
ATOMIC_POSITIONS crystal
Ca 0.127 0.237 0.364
Ca 0.373 0.737 0.110
Ca 0.627 0.263 0.890
Ca 0.873 0.763 0.636
Ga 0.137 0.891 0.027
Ga 0.250 0.750 0.500
Ga 0.363 0.391 0.754
Ga 0.637 0.609 0.246
Ga 0.750 0.250 0.500
Ga 0.863 0.109 0.973
Ni 0.027 0.750 0.277
Ni 0.116 0.650 0.766
Ni 0.250 0.250 0.000
Ni 0.384 0.150 0.534
Ni 0.473 0.750 0.723
Ni 0.527 0.250 0.277
Ni 0.616 0.850 0.466
Ni 0.750 0.750 0.000
Ni 0.884 0.350 0.234
Ni 0.973 0.250 0.723